Record 1
The following is a PBE calculation of a relaxed structure of PmPaGePb, from Alexandria.

Computed properties:
- Formation energy from the elements: -0.16 eV per atom
- Uncorrected energy: -23.2 eV/cell

a = 5.3035 Å, b = 5.3035 Å, c = 5.3035 Å
α = 60.00°, β = 60.00°, γ = 60.00°
Positions (direct):
Pm 0.0000 0.0000 0.0000
Pa 0.5000 0.5000 0.5000
Ge 0.7500 0.7500 0.7500
Pb 0.2500 0.2500 0.2500

Record 2
The following is a PBE calculation of a relaxed structure of PaGePd2, from Alexandria.

Computed properties:
- Formation energy from the elements: -0.03 eV per atom
- ΔE to the lowest computed polymorph: 635 meV per atom
- Uncorrected energy: -24.6 eV/cell

a = 9.5639 Å, b = 9.5639 Å, c = 9.5639 Å
α = 18.47°, β = 18.47°, γ = 18.47°
Positions (direct):
Pa 0.0000 0.0000 0.0000
Ge 0.5000 0.5000 0.5000
Pd 0.0944 0.0944 0.0944
Pd 0.9056 0.9056 0.9056

Record 3
The following is a PBE calculation of a relaxed structure of PaGePd2, from Alexandria.

Computed properties:
- Formation energy from the elements: -0.41 eV per atom
- ΔE to the lowest computed polymorph: 247 meV per atom
- Uncorrected energy: -26.2 eV/cell

a = 3.2113 Å, b = 3.2113 Å, c = 7.0789 Å
α = 90.00°, β = 90.00°, γ = 90.00°
Positions (direct):
Pa 0.0000 0.0000 0.0000
Ge 0.0000 0.0000 0.5000
Pd 0.5000 0.5000 0.2847
Pd 0.5000 0.5000 0.7153

Record 4
The following is a PBE calculation of a relaxed structure of PaGe2Pd3, from Alexandria.

Computed properties:
- Formation energy from the elements: -0.61 eV per atom
- Uncorrected energy: -114.0 eV/cell

a = 8.6064 Å, b = 8.6064 Å, c = 9.9335 Å
α = 108.57°, β = 108.57°, γ = 27.61°
Positions (direct):
Pa 0.0000 0.0000 0.0000
Pa 0.1587 0.1587 0.6993
Pa 0.8413 0.8413 0.3007
Ge 0.1982 0.1982 0.1325
Ge 0.3635 0.3635 0.5451
Ge 0.4573 0.4573 0.2149
Ge 0.5427 0.5427 0.7851
Ge 0.6365 0.6365 0.4549
Ge 0.8018 0.8018 0.8675
Pd 0.0361 0.0361 0.3335
Pd 0.2157 0.2157 0.3937
Pd 0.3166 0.3166 0.0302
Pd 0.3858 0.3858 0.8095
Pd 0.5000 0.5000 0.5000
Pd 0.6142 0.6142 0.1905
Pd 0.6834 0.6834 0.9698
Pd 0.7843 0.7843 0.6063
Pd 0.9639 0.9639 0.6666

Record 5
The following is a PBE calculation of a relaxed structure of PaGe2Pd2, from Alexandria.

Computed properties:
- Formation energy from the elements: -0.60 eV per atom
- Uncorrected energy: -64.2 eV/cell

a = 4.2694 Å, b = 4.3465 Å, c = 10.0239 Å
α = 90.00°, β = 90.53°, γ = 90.00°
Positions (direct):
Pa 0.2460 0.2500 0.2540
Pa 0.7540 0.7500 0.7460
Ge 0.1965 0.7500 0.9917
Ge 0.2312 0.2500 0.6337
Ge 0.7688 0.7500 0.3663
Ge 0.8035 0.2500 0.0083
Pd 0.2705 0.7500 0.5061
Pd 0.3192 0.2500 0.8720
Pd 0.6808 0.7500 0.1280
Pd 0.7295 0.2500 0.4939

Record 6
The following is a PBE calculation of a relaxed structure of Pa2GePd, from Alexandria.

Computed properties:
- Formation energy from the elements: -0.22 eV per atom
- ΔE to the lowest computed polymorph: 226 meV per atom
- Uncorrected energy: -29.7 eV/cell

a = 5.0064 Å, b = 5.0064 Å, c = 5.0064 Å
α = 60.00°, β = 60.00°, γ = 60.00°
Positions (direct):
Pa 0.2500 0.2500 0.2500
Pa 0.7500 0.7500 0.7500
Ge 0.0000 0.0000 0.0000
Pd 0.5000 0.5000 0.5000

Record 7
The following is a PBE calculation of a relaxed structure of Pa5Ge5Pd2, from Alexandria.

Computed properties:
- Formation energy from the elements: -0.41 eV per atom
- ΔE to the lowest computed polymorph: 95 meV per atom
- Uncorrected energy: -85.9 eV/cell

a = 7.1878 Å, b = 7.1878 Å, c = 10.9174 Å
α = 118.79°, β = 118.79°, γ = 32.82°
Positions (direct):
Pa 0.0000 0.0000 0.0000
Pa 0.1599 0.1599 0.5225
Pa 0.1601 0.1601 0.7738
Pa 0.8399 0.8399 0.2262
Pa 0.8401 0.8401 0.4775
Ge 0.1948 0.1948 0.2741
Ge 0.3741 0.3741 0.0556
Ge 0.5000 0.5000 0.5000
Ge 0.6259 0.6259 0.9444
Ge 0.8052 0.8052 0.7259
Pd 0.4359 0.4359 0.7097
Pd 0.5641 0.5641 0.2903

Record 8
The following is a PBE calculation of a relaxed structure of Pa2GePd, from Alexandria.

Computed properties:
- Formation energy from the elements: -0.42 eV per atom
- ΔE to the lowest computed polymorph: 26 meV per atom
- Uncorrected energy: -30.5 eV/cell

a = 4.3746 Å, b = 4.3746 Å, c = 4.3431 Å
α = 90.00°, β = 90.00°, γ = 90.00°
Positions (direct):
Pa 0.0000 0.5000 0.0000
Pa 0.5000 0.0000 0.0000
Ge 0.0000 0.0000 0.5000
Pd 0.5000 0.5000 0.5000

Record 9
The following is a PBE calculation of a relaxed structure of PaGe2Pd4, from Alexandria.

Computed properties:
- Formation energy from the elements: -0.51 eV per atom
- ΔE to the lowest computed polymorph: 72 meV per atom
- Uncorrected energy: -43.1 eV/cell

a = 7.8165 Å, b = 7.8165 Å, c = 7.8165 Å
α = 32.51°, β = 32.51°, γ = 32.51°
Positions (direct):
Pa 0.0000 0.0000 0.0000
Ge 0.2556 0.2556 0.2556
Ge 0.7444 0.7444 0.7444
Pd 0.1394 0.1394 0.1394
Pd 0.4227 0.4227 0.4227
Pd 0.5773 0.5773 0.5773
Pd 0.8606 0.8606 0.8606

Record 10
The following is a PBE calculation of a relaxed structure of PaGe6Pd12, from Alexandria.

Computed properties:
- Formation energy from the elements: -0.40 eV per atom
- Uncorrected energy: -107.1 eV/cell

a = 7.2366 Å, b = 7.2366 Å, c = 7.2366 Å
α = 105.96°, β = 105.96°, γ = 105.96°
Positions (direct):
Pa 0.0000 0.0000 0.0000
Ge 0.2597 0.2597 0.6977
Ge 0.2597 0.6977 0.2597
Ge 0.3023 0.7403 0.7403
Ge 0.6977 0.2597 0.2597
Ge 0.7403 0.3023 0.7403
Ge 0.7403 0.7403 0.3023
Pd 0.1220 0.5000 0.8780
Pd 0.1220 0.8780 0.5000
Pd 0.1559 0.4064 0.4064
Pd 0.4064 0.1559 0.4064
Pd 0.4064 0.4064 0.1559
Pd 0.5000 0.1220 0.8780
Pd 0.5000 0.8780 0.1220
Pd 0.5936 0.5936 0.8441
Pd 0.5936 0.8441 0.5936
Pd 0.8441 0.5936 0.5936
Pd 0.8780 0.1220 0.5000
Pd 0.8780 0.5000 0.1220

Record 11
The following is a PBE calculation of a relaxed structure of PaGePd2, from Alexandria.

Computed properties:
- Formation energy from the elements: -0.53 eV per atom
- ΔE to the lowest computed polymorph: 131 meV per atom
- Uncorrected energy: -26.6 eV/cell

a = 4.7482 Å, b = 4.7482 Å, c = 4.7482 Å
α = 60.00°, β = 60.00°, γ = 60.00°
Positions (direct):
Pa 0.0000 0.0000 0.0000
Ge 0.5000 0.5000 0.5000
Pd 0.2500 0.2500 0.2500
Pd 0.7500 0.7500 0.7500

Record 12
The following is a PBE calculation of a relaxed structure of PaGePd2, from Alexandria.

Computed properties:
- Formation energy from the elements: -0.40 eV per atom
- ΔE to the lowest computed polymorph: 267 meV per atom
- Uncorrected energy: -26.1 eV/cell

a = 4.3227 Å, b = 4.2678 Å, c = 4.3809 Å
α = 90.00°, β = 97.39°, γ = 90.00°
Positions (direct):
Pa 0.0000 0.0000 0.0000
Ge 0.5000 0.0000 0.5000
Pd 0.2834 0.5000 0.7185
Pd 0.7166 0.5000 0.2815

Record 13
The following is a PBE calculation of a relaxed structure of Pa3Ge3Pd2, from Alexandria.

Computed properties:
- Formation energy from the elements: -0.63 eV per atom
- ΔE to the lowest computed polymorph: 0 meV per atom
- Uncorrected energy: -115.5 eV/cell

a = 5.7350 Å, b = 5.7350 Å, c = 14.3657 Å
α = 90.00°, β = 90.00°, γ = 136.26°
Positions (direct):
Pa 0.0793 0.9207 0.6148
Pa 0.0793 0.9207 0.8852
Pa 0.3615 0.6385 0.7500
Pa 0.6385 0.3615 0.2500
Pa 0.9207 0.0793 0.1148
Pa 0.9207 0.0793 0.3852
Ge 0.3579 0.6421 0.2500
Ge 0.3878 0.6122 0.5390
Ge 0.3878 0.6122 0.9610
Ge 0.6122 0.3878 0.0390
Ge 0.6122 0.3878 0.4610
Ge 0.6421 0.3579 0.7500
Pd 0.2135 0.7865 0.1023
Pd 0.2135 0.7865 0.3977
Pd 0.7865 0.2135 0.6023
Pd 0.7865 0.2135 0.8977